Material: TlCu2P
Method: DFT, PBE-GGA
State: optimized geometry

a b c (Å): 4.5539 4.5539 4.5539
angles (deg): 60.00 60.00 60.00
Atoms (fractional coordinates):
Cu (0.2500, 0.2500, 0.2500)
Cu (0.7500, 0.7500, 0.7500)
P (0.0000, 0.0000, 0.0000)
Tl (0.5000, 0.5000, 0.5000)

* volume: 16.69 A^3/atom
* magnetic moment: 0.000 μB per cell
* formation energy: 0.43 eV per atom
* space-group type: Fm-3m, No. 225
* raw total energy: -3.560 eV/atom
* calculated density: 9.01 g/cm3

Material: TlCuP2
Method: DFT, PBE-GGA
State: optimized geometry

a b c (Å): 3.7666 4.1329 5.5910
angles (deg): 76.55 90.00 90.00
Atoms (fractional coordinates):
P (0.0000, 0.9998, 0.8697)
P (0.0000, 0.5002, 0.6303)
Tl (0.5000, 0.2500, 0.2500)
Cu (0.5000, 0.7500, 0.7500)

* volume: 21.16 A^3/atom
* magnetic moment: 0.000 μB per cell
* formation energy: 0.04 eV per atom
* space-group type: P2/m, No. 10
* energy relative to the lowest polymorph listed for this composition: 0 meV/atom
* raw total energy: -4.280 eV/atom
* calculated density: 6.47 g/cm3

Material: TlCu2P
Method: DFT, PBE-GGA
State: optimized geometry

a b c (Å): 4.8576 4.8576 4.8576
angles (deg): 133.28 105.99 92.23
Atoms (fractional coordinates):
Cu (0.5645, 0.5645, 0.0000)
Cu (0.9355, 0.9355, 0.0000)
P (0.7500, 0.2500, 0.5000)
Tl (0.2500, 0.7500, 0.5000)

* volume: 18.96 A^3/atom
* magnetic moment: 0.000 μB per cell
* formation energy: 0.33 eV per atom
* space-group type: Immm, No. 71
* raw total energy: -3.666 eV/atom
* calculated density: 7.94 g/cm3

Material: TlCuP
Method: DFT, PBE-GGA
State: optimized geometry

a b c (Å): 3.9117 3.9117 4.8679
angles (deg): 90.00 90.00 120.00
Atoms (fractional coordinates):
P (0.3333, 0.6667, 0.1669)
Cu (0.0000, 0.0000, 0.1663)
Tl (0.6667, 0.3333, 0.6668)

* volume: 21.50 A^3/atom
* magnetic moment: 0.000 μB per cell
* formation energy: 0.09 eV per atom
* space-group type: P-6m2, No. 187
* energy relative to the lowest polymorph listed for this composition: 70 meV/atom
* raw total energy: -3.872 eV/atom
* calculated density: 7.69 g/cm3

Material: TlCu2P
Method: DFT, PBE-GGA
State: optimized geometry

a b c (Å): 4.5903 4.5903 4.5903
angles (deg): 60.00 60.00 60.00
Atoms (fractional coordinates):
P (0.5000, 0.5000, 0.5000)
Cu (0.7500, 0.7500, 0.7500)
Cu (0.0000, 0.0000, 0.0000)
Tl (0.2500, 0.2500, 0.2500)

* volume: 17.10 A^3/atom
* magnetic moment: 0.000 μB per cell
* formation energy: 0.57 eV per atom
* space-group type: F-43m, No. 216
* raw total energy: -3.427 eV/atom
* calculated density: 8.80 g/cm3

Material: TlCuP2
Method: DFT, PBE-GGA
State: optimized geometry

a b c (Å): 6.7389 6.7389 6.7389
angles (deg): 32.21 32.21 32.21
Atoms (fractional coordinates):
Cu (0.7500, 0.7500, 0.7500)
P (0.0312, 0.0312, 0.0312)
P (0.4688, 0.4688, 0.4688)
Tl (0.2500, 0.2500, 0.2500)

* volume: 19.32 A^3/atom
* magnetic moment: 0.000 μB per cell
* formation energy: 0.23 eV per atom
* space-group type: R-3m, No. 166
* energy relative to the lowest polymorph listed for this composition: 188 meV/atom
* raw total energy: -4.092 eV/atom
* calculated density: 7.09 g/cm3

Material: TlCu2P
Method: DFT, PBE-GGA
State: optimized geometry

a b c (Å): 3.1309 3.1309 7.2861
angles (deg): 90.00 90.00 90.08
Atoms (fractional coordinates):
Cu (0.0000, 0.0000, 0.0709)
Cu (0.5000, 0.5000, 0.2582)
P (0.0000, 0.0000, 0.3971)
Tl (0.5000, 0.5000, 0.7738)

* volume: 17.86 A^3/atom
* magnetic moment: 0.000 μB per cell
* formation energy: 0.28 eV per atom
* space-group type: P4mm, No. 99
* raw total energy: -3.715 eV/atom
* calculated density: 8.43 g/cm3

Material: TlCuP2
Method: DFT, PBE-GGA
State: optimized geometry

a b c (Å): 5.3683 5.3683 5.3683
angles (deg): 144.46 112.09 79.06
Atoms (fractional coordinates):
Tl (0.4874, 0.4874, 0.0000)
Cu (0.2004, 0.7004, 0.5000)
P (0.9961, 0.9961, 0.0000)
P (0.8161, 0.3161, 0.5000)

* volume: 20.34 A^3/atom
* magnetic moment: 0.000 μB per cell
* formation energy: 0.39 eV per atom
* space-group type: Imm2, No. 44
* energy relative to the lowest polymorph listed for this composition: 349 meV/atom
* raw total energy: -3.931 eV/atom
* calculated density: 6.73 g/cm3

raw total energy of number 5 (TlCu2P)?
-3.427 eV/atom